First-principles (GGA-PBE) data for a relaxed structure of Cs2NbVCl6, as listed in Alexandria.

Lattice parameters (Å, degrees): 10.2589 10.2589 10.2589 90.00 90.00 90.00
Space group Fm-3m (No. 225)
Symmetry-distinct sites (fractional):
Cs  0.2500  0.2500  0.2500 x8
Nb  0.0000  0.0000  0.0000 x4
V  0.0000  0.0000  0.5000 x4
Cl  0.0000  0.0000  0.2547 x24

Calculated values
Energy relative to the elements, uncorrected: -1.348 eV per atom
Volume: 1079.7 Å³/cell

First-principles (GGA-PBE) data for a relaxed structure of Cu2RhSe, as listed in Alexandria.

Lattice parameters (Å, degrees): 2.9584 4.7138 8.5287 90.00 90.00 90.00
Space group Cmmm (No. 65)
Symmetry-distinct sites (fractional):
Cu  0.0000  0.0000  0.2437 x4
Rh  0.0000  0.5000  0.0000 x2
Se  0.0000  0.5000  0.5000 x2

Calculated values
Energy relative to the elements, uncorrected: 0.317 eV per atom
Volume: 118.9 Å³/cell

First-principles (GGA-PBE) data for a relaxed structure of KTaRh2, as listed in Alexandria.

Lattice parameters (Å, degrees): 3.3651 3.3651 26.2748 90.00 90.00 120.00
Space group R-3m (No. 166, hexagonal axes)
Symmetry-distinct sites (fractional):
K  0.0000  0.0000  0.0000 x3
Ta  0.0000  0.0000  0.5000 x3
Rh  0.0000  0.0000  0.2296 x6

Calculated values
ΔE_f: 0.38 eV/f.u.
Volume: 257.7 Å³/cell
Distance to the lowest polymorph of the same formula: 0 meV/atom

First-principles (GGA-PBE) data for a relaxed structure of Cs12In3I5, as listed in Alexandria.

Lattice parameters (Å, degrees): 23.0741 23.0741 23.0741 90.00 90.00 90.00
Space group Ia-3d (No. 230)
Symmetry-distinct sites (fractional):
Cs  0.0168  0.0689  0.6539 x96
In  0.0000  0.2500  0.1250 x24
I  0.0000  0.0000  0.0000 x16
I  0.0000  0.2500  0.3750 x24

Calculated values
Energy relative to the elements, uncorrected: -0.653 eV per atom
Volume: 12284.9 Å³/cell

First-principles (GGA-PBE) data for a relaxed structure of BaZrGeB2, as listed in Alexandria.

Lattice parameters (Å, degrees): 4.5372 4.5372 5.1165 90.00 90.00 90.00
Space group P4/mmm (No. 123)
Symmetry-distinct sites (fractional):
Ba  0.0000  0.0000  0.0000 x1
Zr  0.5000  0.5000  0.0000 x1
Ge  0.5000  0.5000  0.5000 x1
B  0.0000  0.5000  0.5000 x2

Calculated values
ΔE_f: 6.35 eV/f.u.
Volume: 105.3 Å³/cell

First-principles (GGA-PBE) data for a relaxed structure of Tb3Pr8Sm2, as listed in Alexandria.

Lattice parameters (Å, degrees): 20.7576 7.7557 5.7970 90.00 90.02 90.00
Space group C2/m (No. 12)
Symmetry-distinct sites (fractional):
Tb  0.0000  0.0000  0.0000 x2
Tb  0.0000  0.2846  0.5000 x4
Pr  0.1046  0.2949  0.0002 x8
Pr  0.1312  0.0000  0.4997 x4
Pr  0.1728  0.5000  0.5006 x4
Sm  0.2403  0.0000  0.9992 x4

Calculated values
ΔE_f: 2.56 eV/f.u.
Volume: 933.3 Å³/cell
Distance to the lowest polymorph of the same formula: 39 meV/atom

First-principles (GGA-PBE) data for a relaxed structure of MnBr4, as listed in Alexandria.

Lattice parameters (Å, degrees): 13.1127 8.2345 6.3147 90.00 90.21 90.00
Space group C2/c (No. 15)
Symmetry-distinct sites (fractional):
Mn  0.0000  0.1272  0.2500 x4
Br  0.1040  0.1000  0.9279 x8
Br  0.1140  0.3216  0.3808 x8

Calculated values
Energy relative to the elements, uncorrected: -0.511 eV per atom
Volume: 681.8 Å³/cell

First-principles (GGA-PBE) data for a relaxed structure of In2SiSb, as listed in Alexandria.

Lattice parameters (Å, degrees): 6.4167 9.7023 3.2358 90.00 102.72 90.00
Space group C2/m (No. 12)
Symmetry-distinct sites (fractional):
In  0.2500  0.2500  0.0000 x4
Si  0.0000  0.0000  0.5000 x2
Sb  0.0000  0.5000  0.5000 x2

Calculated values
Energy relative to the elements, uncorrected: 0.332 eV per atom
Volume: 196.5 Å³/cell
Distance to the lowest polymorph of the same formula: 168 meV/atom

- What is the volume in the second record?
  118.9 Å³/cell